# DyGe7Rh3

An optimized crystal structure of DyGe7Rh3 (GGA-PBE, Alexandria).

a = 7.9381 Å, b = 7.9381 Å, c = 8.2934 Å
α = 61.41°, β = 61.41°, γ = 60.00°
Positions (direct):
Rh  0.7500  0.4315  0.7500
Rh  0.2500  0.5685  0.2500
Rh  0.5685  0.9315  0.2500
Rh  0.9315  0.2500  0.2500
Rh  0.0685  0.7500  0.7500
Rh  0.4315  0.0685  0.7500
Ge  0.1669  0.3515  0.9070
Ge  0.7500  0.7500  0.7500
Ge  0.8331  0.6485  0.0930
Ge  0.3515  0.5746  0.9070
Ge  0.9254  0.1485  0.5930
Ge  0.5746  0.1669  0.9070
Ge  0.0746  0.8515  0.4070
Ge  0.6485  0.4254  0.0930
Ge  0.2500  0.2500  0.2500
Ge  0.1485  0.3331  0.5930
Ge  0.4254  0.8331  0.0930
Ge  0.6669  0.0746  0.4070
Ge  0.3331  0.9254  0.5930
Ge  0.8515  0.6669  0.4070
Dy  0.5000  0.5000  0.5000
Dy  0.0000  0.0000  0.0000

Summary:
* space-group type: R-3c (167)
* energy of formation from the pure elements: -527 meV per atom
* total magnetic moment: 0.0000 μB/atom
* energy: -5.89 eV/atom